Computed, not measured: a relaxed NaB2IrSe crystal at the PBE level of DFT.

The space group is P4/mmm (No. 123) and the conventional cell measures 4.057, 4.057 and 5.916 Å, with angles of 90.00, 90.00 and 90.00 degrees. The asymmetric unit holds Na at (0.000, 0.000, 0.000), B at (0.000, 0.500, 0.500), Ir at (0.000, 0.000, 0.500) and Se at (0.500, 0.500, 0.000).

The energy relative to the elements, uncorrected is 312 kJ/mol of formula units.

***

Computed, not measured: a relaxed Na2SiB2Ir5 crystal at the PBE level of DFT.

The space group is P4/mbm (No. 127) and the conventional cell measures 9.561, 9.561 and 2.873 Å, with angles of 90.00, 90.00 and 90.00 degrees. The asymmetric unit holds Na at (0.177, 0.323, 0.000), Si at (0.000, 0.000, 0.000), B at (0.126, 0.626, 0.000), Ir at (0.000, 0.500, 0.500) and Ir at (0.067, 0.789, 0.500).

The energy relative to the elements, uncorrected is -216 kJ/mol of formula units.

***

Computed, not measured: a relaxed Na2VBIr crystal at the PBE level of DFT.

The space group is P4/mmm (No. 123) and the conventional cell measures 4.495, 4.495 and 4.199 Å, with angles of 90.00, 90.00 and 90.00 degrees. The asymmetric unit holds Na at (0.000, 0.500, 0.000), V at (0.000, 0.000, 0.500), B at (0.000, 0.000, 0.000) and Ir at (0.500, 0.500, 0.500).

For the formation energy, the calculation gives 1.295 eV per atom.

***

Taking the records one at a time from the top gives density values of 5.4; 13.4; 5.9 g cm⁻³.